Here is crystalline Re2SbPb at its relaxed geometry from Alexandria via LeMat-Bulk. Energies are from GGA-PBE.

Unit cell a=5.443 b=5.443 c=3.139 alpha=105.66 beta=105.66 gamma=108.85
Element x y z (fractional)
Re (0.000, 0.500, 0.000)
Re (0.500, 0.000, 0.000)
Sb (0.000, 0.000, 0.500)
Pb (0.500, 0.500, 0.500)

Offset from the most stable computed form (eV per atom): 0.885
Energy (eV/atom): -6.969
Symmetry: C2/m (12)


Here is crystalline DyThN2 at its relaxed geometry from Alexandria via LeMat-Bulk. Energies are from GGA-PBE.

Unit cell a=6.419 b=6.419 c=6.419 alpha=31.88 beta=31.88 gamma=31.88
Element x y z (fractional)
Dy (0.000, 0.000, 0.000)
Th (0.174, 0.174, 0.174)
N (0.591, 0.591, 0.591)
N (0.758, 0.758, 0.758)

Energy (eV/atom): -8.528
Symmetry: R3m (160)


Here is crystalline LaMoBr2 at its relaxed geometry from Alexandria via LeMat-Bulk. Energies are from GGA-PBE.

Unit cell a=4.244 b=4.408 c=5.279 alpha=90.00 beta=95.74 gamma=90.00
Element x y z (fractional)
La (0.000, 0.000, 0.000)
Mo (0.500, 0.000, 0.500)
Br (0.299, 0.500, 0.717)
Br (0.701, 0.500, 0.283)

Offset from the most stable computed form (eV per atom): 0.278
Energy (eV/atom): -4.940
Symmetry: P2/m (10)


no.,ΔE_f (raw) (eV/atom)
1,1.213
2,-1.360
3,-0.164